4
Lattice="3.887 0.000 0.000 -1.944 3.366 0.000 0.000 0.000 6.605" Properties=species:S:1:pos:R:3 comment="PBE CaNi2Cl, relaxed" vol_a3_per_atom=21.61 formation_energy_uncorrected_ev_per_atom=-0.403 spacegroup=P3m1 e_above_lowest_polymorph_ev_per_fu=0.00 pbc="T T T"
Ca 0.000 0.000 0.000
Ni 0.000 2.244 2.133
Ni 1.944 1.122 2.033
Cl 0.000 2.244 4.989